Record 1
A plane-wave DFT calculation with PBE was carried out for a geometry-optimized KCaNpF6 structure.

Total magnetic moment = 4.0 μB per formula unit
Total energy = -6.4462 eV/atom

Cell and atoms, written as POSCAR:
```
KCaNpF6
1.0
6.2883 0.0000 0.0000
-3.1441 5.4458 0.0000
0.0000 0.0000 10.3515
K Ca Np F
2 2 2 12
Cartesian
0.0000 0.0000 0.0000
0.0000 0.0000 5.1757
0.0000 3.6305 2.5879
3.1441 1.8153 7.7636
0.0000 3.6305 7.7636
3.1441 1.8153 2.5879
-1.1482 2.0121 1.4479
-1.9757 3.4454 3.7279
1.1482 2.0121 3.7279
-0.8276 5.4341 1.4479
2.3166 0.0117 6.6236
1.1684 2.0004 8.9036
1.9757 3.4454 1.4479
0.8276 5.4341 3.7279
3.9717 0.0117 8.9036
1.9960 3.4337 6.6236
5.1198 2.0004 6.6236
4.2923 3.4337 8.9036
```

=====

Record 2
A plane-wave DFT calculation with PBE was carried out for a geometry-optimized KCaOF2 structure.

Total magnetic moment = 1.0 μB per formula unit
Total energy = -4.1135 eV/atom
Energy above the lowest structure with this stoichiometry = 827 meV per atom

Cell and atoms, written as POSCAR:
```
KCaOF2
1.0
4.6013 0.0000 0.0000
0.0000 4.6013 0.0000
0.0000 0.0000 4.6087
K Ca O F
1 1 1 2
Cartesian
0.0000 0.0000 0.0000
2.3006 2.3006 2.3044
0.0000 0.0000 2.3044
0.0000 2.3006 0.0000
2.3006 0.0000 0.0000
```

=====

> Look up the total energy of the second one.

-4.1135 eV/atom

=====

> Which of these has the lowest total energy?

KCaNpF6